(1)
# Ba2GeBrF

A geometry-optimized Ba2GeBrF structure (GGA-PBE, Alexandria via LeMat-Bulk).

As for the uncorrected formation energy: -6.84 eV/f.u. The value obtained for the raw total energy is -3.769 eV per atom. The total magnetization comes out at 0.00 Bohr magnetons per cell.

The space group is P4/mmm (No. 123) and the conventional cell measures 5.360, 5.360 and 5.435 Å, with angles of 90.00, 90.00 and 90.00 degrees. The asymmetric unit holds Ba at (0.000, 0.500, 0.000), Ge at (0.000, 0.000, 0.500), Br at (0.500, 0.500, 0.500) and F at (0.500, 0.500, 0.000).

***

(2)
# BaHBrF2

A geometry-optimized BaHBrF2 structure (GGA-PBE, Alexandria via LeMat-Bulk).

The value obtained for the raw total energy is -3.033 eV per atom. The total magnetization comes out at 0.00 Bohr magnetons per cell.

The space group is P4/mmm (No. 123) and the conventional cell measures 4.478, 4.478 and 6.259 Å, with angles of 90.00, 90.00 and 90.00 degrees. The asymmetric unit holds Ba at (0.000, 0.000, 0.000), H at (0.500, 0.500, 0.000), Br at (0.000, 0.000, 0.500) and F at (0.000, 0.500, 0.500).

***

(3)
# Ba2IBrF2

A geometry-optimized Ba2IBrF2 structure (GGA-PBE, Alexandria via LeMat-Bulk).

As for the uncorrected formation energy: -17.85 eV/f.u. The value obtained for the raw total energy is -4.777 eV per atom. The total magnetization comes out at 0.00 Bohr magnetons per cell.

The space group is P4mm (No. 99) and the conventional cell measures 4.592, 4.592 and 8.182 Å, with angles of 90.00, 90.00 and 90.00 degrees. The asymmetric unit holds Ba at (0.000, 0.000, 0.000), Ba at (0.500, 0.500, 0.353), I at (0.500, 0.500, 0.805), Br at (0.000, 0.000, 0.495) and F at (0.000, 0.500, 0.169).